[1]
{"formula": "CoPdS2", "functional": "PBE", "state": "optimized geometry", "e_form_raw_kcal_per_mol_atoms": 4.89, "crystal_system": "cubic", "lattice_angstrom": [[0.000, 3.018, 3.018], [3.018, 0.000, 3.018], [3.018, 3.018, 0.000]], "species": ["Co", "Pd", "S", "S"], "fractional_positions": [[0.000, 0.000, 0.000], [0.500, 0.500, 0.500], [0.250, 0.250, 0.250], [0.750, 0.750, 0.750]]}

[2]
{"formula": "CoPd2S2", "functional": "PBE", "state": "optimized geometry", "e_form_raw_kcal_per_mol_atoms": 10.69, "crystal_system": "tetragonal", "lattice_angstrom": [[-1.906, 1.906, 5.649], [1.906, -1.906, 5.649], [1.906, 1.906, -5.649]], "species": ["Co", "Pd", "Pd", "S", "S"], "fractional_positions": [[0.000, 0.000, 0.000], [0.250, 0.750, 0.500], [0.750, 0.250, 0.500], [0.393, 0.393, 0.000], [0.607, 0.607, 0.000]]}

[3]
{"formula": "CoPd2S2", "functional": "PBE", "state": "optimized geometry", "e_form_raw_kcal_per_mol_atoms": -2.83, "crystal_system": "tetragonal", "lattice_angstrom": [[5.646, 0.000, 0.000], [0.000, 5.646, 0.000], [0.000, 0.000, 4.664]], "species": ["Co", "Co", "Pd", "Pd", "Pd", "Pd", "S", "S", "S", "S"], "fractional_positions": [[0.000, 0.000, 0.000], [0.500, 0.500, 0.000], [0.177, 0.323, 0.500], [0.323, 0.823, 0.500], [0.677, 0.177, 0.500], [0.823, 0.677, 0.500], [0.145, 0.355, 0.000], [0.355, 0.855, 0.000], [0.645, 0.145, 0.000], [0.855, 0.645, 0.000]]}

[4]
{"formula": "CoPdS2", "functional": "PBE", "state": "optimized geometry", "e_form_raw_kcal_per_mol_atoms": -5.50, "crystal_system": "tetragonal", "lattice_angstrom": [[-2.630, 2.630, 5.056], [2.630, -2.630, 5.056], [2.630, 2.630, -5.056]], "species": ["Co", "Co", "Pd", "Pd", "S", "S", "S", "S"], "fractional_positions": [[0.000, 0.000, 0.000], [0.750, 0.250, 0.500], [0.250, 0.750, 0.500], [0.500, 0.500, 0.000], [0.085, 0.625, 0.960], [0.375, 0.335, 0.460], [0.665, 0.125, 0.040], [0.875, 0.915, 0.540]]}

[5]
{"formula": "CoPd3S", "functional": "PBE", "state": "optimized geometry", "e_form_raw_kcal_per_mol_atoms": 7.62, "polymorph_energy_mev_per_atom": 0, "crystal_system": "cubic", "lattice_angstrom": [[4.454, 0.000, 0.000], [0.000, 4.454, 0.000], [0.000, 0.000, 4.454]], "species": ["Co", "Pd", "Pd", "Pd", "S"], "fractional_positions": [[0.000, 0.000, 0.000], [0.000, 0.500, 0.500], [0.500, 0.000, 0.500], [0.500, 0.500, 0.000], [0.500, 0.500, 0.500]]}

[6]
{"formula": "CoPd2S2", "functional": "PBE", "state": "optimized geometry", "e_form_raw_kcal_per_mol_atoms": -3.29, "crystal_system": "orthorhombic", "lattice_angstrom": [[1.700, -7.059, 0.000], [1.700, 7.059, 0.000], [0.000, 0.000, 6.217]], "species": ["Co", "Co", "Pd", "Pd", "Pd", "Pd", "S", "S", "S", "S"], "fractional_positions": [[0.082, 0.918, 0.500], [0.918, 0.082, 0.000], [0.312, 0.688, 0.722], [0.440, 0.560, 0.357], [0.560, 0.440, 0.857], [0.688, 0.312, 0.222], [0.058, 0.942, 0.151], [0.313, 0.687, 0.108], [0.687, 0.313, 0.608], [0.942, 0.058, 0.651]]}